ZnTe2IN PBE relaxed; total magnetization = 2.0 μB per cell; formation energy without anion corrections = 0.83 eV/atom
1.0
-4.067 3.592 -2.446
-2.768 0.441 5.251
2.056 2.900 0.840
N Te I Zn
1 2 1 1
Cartesian
1.028 1.450 0.420
-1.384 0.220 2.625
-2.034 1.796 -1.223
-2.390 3.466 1.823
0.000 0.000 0.000